Material: SiTc2As
Method: DFT, PBE-GGA
State: relaxed

## Properties
E_form (uncorrected) = 2.47 kcal/mol of atoms

abc: 3.0531 4.9612 7.8536
angles: 90.00 90.00 90.00
Closest atoms and distances in Å follow each position.
Space group Cmmm (No. 65)
Symmetry-distinct sites (fractional):
Si: 0.0000 0.0000 0.0000 (multiplicity 2)  4 Tc 2.43
Tc: 0.0000 0.5000 0.2411 (multiplicity 4)  2 Si 2.43, 2 As 2.54
As: 0.0000 0.0000 0.5000 (multiplicity 2)  4 Tc 2.54

***

Material: SiTc2As
Method: DFT, PBE-GGA
State: relaxed

## Properties
E_form (uncorrected) = 6.85 kcal/mol of atoms

abc: 3.1302 4.6491 8.4691
angles: 90.00 90.00 90.00
Closest atoms and distances in Å follow each position.
Space group Cmm2 (No. 35)
Symmetry-distinct sites (fractional):
Si: 0.0000 0.0000 0.0000 (multiplicity 2)  2 Tc 2.45
Tc: 0.0000 0.0000 0.4744 (multiplicity 2)  2 As 2.57, 6 Tc 2.65-2.80
Tc: 0.0000 0.5000 0.2225 (multiplicity 2)  2 Si 2.45, 2 Tc 2.65
As: 0.0000 0.5000 0.7156 (multiplicity 2)  2 Tc 2.57, 4 As 2.80, 2 Si 2.87

***

Material: SiTc2As
Method: DFT, PBE-GGA
State: relaxed

## Properties
E_form (uncorrected) = -6.56 kcal/mol of atoms

abc: 3.1797 3.2243 11.7732
angles: 90.00 90.00 90.00
Closest atoms and distances in Å follow each position.
Space group Imm2 (No. 44)
Symmetry-distinct sites (fractional):
Si: 0.0000 0.0000 0.0000 (multiplicity 2)  6 Tc 2.47-2.48
Tc: 0.0000 0.0000 0.5832 (multiplicity 2)  4 Si 2.47, 2 As 2.51
Tc: 0.0000 0.5000 0.8399 (multiplicity 2)  2 Si 2.48, 4 As 2.51
As: 0.0000 0.5000 0.2483 (multiplicity 2)  6 Tc 2.51

***

Material: SiTc2As
Method: DFT, PBE-GGA
State: relaxed

## Properties
E_form (uncorrected) = -5.76 kcal/mol of atoms

abc: 3.0216 3.0216 6.0650
angles: 90.00 90.00 90.00
Closest atoms and distances in Å follow each position.
Space group P4/mmm (No. 123)
Symmetry-distinct sites (fractional):
Si: 0.0000 0.0000 0.0000 (multiplicity 1)  8 Tc 2.60
Tc: 0.5000 0.5000 0.2434 (multiplicity 2)  4 Si 2.60, 4 As 2.64
As: 0.0000 0.0000 0.5000 (multiplicity 1)  8 Tc 2.64

***

Material: SiTc2As
Method: DFT, PBE-GGA
State: relaxed

## Properties
E_form (uncorrected) = -1.10 kcal/mol of atoms

abc: 2.9462 2.9462 23.1058
angles: 90.00 90.00 120.00
Closest atoms and distances in Å follow each position.
Space group R-3m (No. 166, hexagonal axes)
Symmetry-distinct sites (fractional):
Si: 0.0000 0.0000 0.0000 (multiplicity 3)  6 Tc 2.55
Tc: 0.0000 0.0000 0.2509 (multiplicity 6)  3 Si 2.55, 3 As 2.58
As: 0.0000 0.0000 0.5000 (multiplicity 3)  6 Tc 2.58

***

Material: SiTc2As
Method: DFT, PBE-GGA
State: relaxed

## Properties
E_form (uncorrected) = 4.11 kcal/mol of atoms

abc: 3.8659 3.8659 7.7710
angles: 90.00 90.00 90.00
Closest atoms and distances in Å follow each position.
Space group I-4m2 (No. 119)
Symmetry-distinct sites (fractional):
Si: 0.0000 0.0000 0.0000 (multiplicity 2)  8 Tc 2.73-2.74, 4 As 2.74
Tc: 0.0000 0.0000 0.5000 (multiplicity 2)  4 Si 2.73, 4 As 2.74, 4 Tc 2.74
Tc: 0.0000 0.5000 0.7500 (multiplicity 2)  4 As 2.73, 4 Tc 2.74, 4 Si 2.74
As: 0.0000 0.5000 0.2500 (multiplicity 2)  8 Tc 2.73-2.74, 4 Si 2.74